A plane-wave DFT calculation with GGA-PBE was carried out for a relaxed structure of Ta2AlPb.

Energy of formation = 0.304 eV/atom
Magnetic moment = 0.00 μB/f.u.
Calculated total energy = -29.94 eV for the cell shown

Lattice parameters (Å, degrees): 2.9989 4.7658 5.5791 90.00 101.00 90.00
Element x y z (fractional)
Ta 0.0000 0.0000 0.0000
Ta 0.1711 0.5000 0.7452
Al 0.7171 0.5000 0.1915
Pb 0.5561 0.0000 0.4929

---

A plane-wave DFT calculation with GGA-PBE was carried out for a relaxed structure of Er5Pt2Rh2.

Energy of formation = -1.026 eV/atom
Magnetic moment = 0.00 μB/f.u.
Calculated total energy = -117.67 eV for the cell shown

Lattice parameters (Å, degrees): 8.1915 8.1915 7.4438 90.00 90.00 53.55
Element x y z (fractional)
Er 0.0000 0.0000 0.0000
Er 0.0355 0.6927 0.6677
Er 0.1927 0.5355 0.1677
Er 0.3073 0.9645 0.6677
Er 0.4645 0.8073 0.1677
Er 0.5000 0.5000 0.5000
Er 0.5355 0.1927 0.8323
Er 0.6927 0.0355 0.3323
Er 0.8073 0.4645 0.8323
Er 0.9645 0.3073 0.3323
Pt 0.2028 0.2028 0.0000
Pt 0.2972 0.2972 0.5000
Pt 0.7028 0.7028 0.5000
Pt 0.7972 0.7972 0.0000
Rh 0.1327 0.8673 0.3692
Rh 0.3673 0.6327 0.8692
Rh 0.6327 0.3673 0.1308
Rh 0.8673 0.1327 0.6308

---

A plane-wave DFT calculation with GGA-PBE was carried out for a relaxed structure of KSc2Be.

Energy of formation = 0.867 eV/atom
Magnetic moment = 0.00 μB/f.u.
Calculated total energy = -28.04 eV for the cell shown

Lattice parameters (Å, degrees): 6.3884 11.2247 3.1136 90.00 116.04 90.00
Element x y z (fractional)
K 0.0000 0.0000 0.0000
K 0.5000 0.5000 0.0000
Sc 0.2500 0.2500 0.5000
Sc 0.2500 0.7500 0.5000
Sc 0.7500 0.2500 0.5000
Sc 0.7500 0.7500 0.5000
Be 0.0000 0.5000 0.0000
Be 0.5000 0.0000 0.0000

---

A plane-wave DFT calculation with GGA-PBE was carried out for a relaxed structure of LaAuIO2.

Magnetic moment = 0.00 μB/f.u.
ΔE_f (raw) = -0.470 eV/atom
Calculated total energy = -22.02 eV for the cell shown
Energy above the most stable polymorph in this dataset = 655 meV/atom

Lattice parameters (Å, degrees): 4.5173 4.5173 5.1371 90.00 90.00 90.00
Element x y z (fractional)
La 0.0000 0.0000 0.0000
Au 0.5000 0.5000 0.5000
I 0.5000 0.5000 0.0000
O 0.0000 0.5000 0.5000
O 0.5000 0.0000 0.5000

---

A plane-wave DFT calculation with GGA-PBE was carried out for a relaxed structure of NaBe2BS4.

Magnetic moment = 0.00 μB/f.u.
ΔE_f (raw) = -0.775 eV/atom
Calculated total energy = -76.32 eV for the cell shown

Lattice parameters (Å, degrees): 5.3785 5.3785 8.7432 90.00 90.00 90.00
Element x y z (fractional)
Na 0.0000 0.0000 0.0000
Na 0.5000 0.5000 0.5000
Be 0.0000 0.5000 0.2500
Be 0.0000 0.5000 0.7500
Be 0.5000 0.0000 0.2500
Be 0.5000 0.0000 0.7500
B 0.0000 0.0000 0.5000
B 0.5000 0.5000 0.0000
S 0.2020 0.2020 0.3657
S 0.2020 0.7980 0.6343
S 0.2980 0.2980 0.8657
S 0.2980 0.7020 0.1343
S 0.7020 0.2980 0.1343
S 0.7020 0.7020 0.8657
S 0.7980 0.2020 0.6343
S 0.7980 0.7980 0.3657

---

A plane-wave DFT calculation with GGA-PBE was carried out for a relaxed structure of Y8InRh2.

Energy of formation = -0.376 eV/atom
Magnetic moment = 0.00 μB/f.u.
Calculated total energy = -73.29 eV for the cell shown

Lattice parameters (Å, degrees): 8.0057 8.0057 5.4437 97.62 97.62 113.70
Element x y z (fractional)
Y 0.0724 0.3290 0.5748
Y 0.2465 0.7535 0.0000
Y 0.3290 0.0724 0.5748
Y 0.3876 0.3876 0.1947
Y 0.6124 0.6124 0.8053
Y 0.6710 0.9276 0.4252
Y 0.7535 0.2465 0.0000
Y 0.9276 0.6710 0.4252
In 0.0000 0.0000 0.0000
Rh 0.3061 0.6939 0.5000
Rh 0.6939 0.3061 0.5000

---

A plane-wave DFT calculation with GGA-PBE was carried out for a relaxed structure of TaTeRuN2.

Magnetic moment = 1.56 μB/f.u.
ΔE_f (raw) = 1.287 eV/atom
Calculated total energy = -34.48 eV for the cell shown
Energy above the most stable polymorph in this dataset = 546 meV/atom

Lattice parameters (Å, degrees): 3.9029 3.9029 5.5709 90.00 90.00 90.00
Element x y z (fractional)
Ta 0.0000 0.0000 0.0000
Te 0.5000 0.5000 0.0000
Ru 0.5000 0.5000 0.5000
N 0.0000 0.5000 0.5000
N 0.5000 0.0000 0.5000

---

A plane-wave DFT calculation with GGA-PBE was carried out for a relaxed structure of La2ZnGa3Pt4.

Energy of formation = -0.951 eV/atom
Magnetic moment = 0.00 μB/f.u.
Calculated total energy = -53.89 eV for the cell shown

Lattice parameters (Å, degrees): 4.2803 4.2803 10.8035 90.00 90.00 90.00
Element x y z (fractional)
La 0.0000 0.5000 0.2469
La 0.5000 0.0000 0.7531
Zn 0.5000 0.5000 0.0000
Ga 0.0000 0.0000 0.0000
Ga 0.0000 0.5000 0.6287
Ga 0.5000 0.0000 0.3713
Pt 0.0000 0.0000 0.5000
Pt 0.0000 0.5000 0.8630
Pt 0.5000 0.0000 0.1370
Pt 0.5000 0.5000 0.5000

---

A plane-wave DFT calculation with GGA-PBE was carried out for a relaxed structure of V2Cr2Re3.

Energy of formation = 0.012 eV/atom
Magnetic moment = 0.00 μB/f.u.
Calculated total energy = -149.49 eV for the cell shown

Lattice parameters (Å, degrees): 3.0389 21.1521 3.0288 90.00 90.00 90.00
Element x y z (fractional)
V 0.0000 0.0706 0.0000
V 0.0000 0.9294 0.0000
V 0.5000 0.4294 0.0000
V 0.5000 0.5706 0.0000
Cr 0.0000 0.2089 0.0000
Cr 0.0000 0.7911 0.0000
Cr 0.5000 0.2911 0.0000
Cr 0.5000 0.7089 0.0000
Re 0.0000 0.3557 0.5000
Re 0.0000 0.5000 0.5000
Re 0.0000 0.6443 0.5000
Re 0.5000 0.0000 0.5000
Re 0.5000 0.1443 0.5000
Re 0.5000 0.8557 0.5000

---

A plane-wave DFT calculation with GGA-PBE was carried out for a relaxed structure of CrIn2PbI.

Magnetic moment = 4.66 μB/f.u.
ΔE_f (raw) = 0.997 eV/atom
Calculated total energy = -15.37 eV for the cell shown

Lattice parameters (Å, degrees): 6.1577 6.1577 6.0653 90.00 90.00 90.00
Element x y z (fractional)
Cr 0.0000 0.0000 0.0000
In 0.0000 0.5000 0.5000
In 0.5000 0.0000 0.5000
Pb 0.5000 0.5000 0.0000
I 0.5000 0.5000 0.5000

---

A plane-wave DFT calculation with GGA-PBE was carried out for a relaxed structure of Pr8Cd2Sb.

Magnetic moment = 0.00 μB/f.u.
ΔE_f (raw) = -0.244 eV/atom
Calculated total energy = -46.87 eV for the cell shown

Lattice parameters (Å, degrees): 9.9695 9.9695 7.2735 101.73 101.73 31.29
Element x y z (fractional)
Pr 0.0179 0.0179 0.2591
Pr 0.2060 0.2060 0.8101
Pr 0.3377 0.3377 0.5293
Pr 0.4057 0.4057 0.0418
Pr 0.5943 0.5943 0.9582
Pr 0.6623 0.6623 0.4707
Pr 0.7940 0.7940 0.1899
Pr 0.9821 0.9821 0.7409
Cd 0.1843 0.1843 0.2312
Cd 0.8157 0.8157 0.7688
Sb 0.5000 0.5000 0.5000

---

A plane-wave DFT calculation with GGA-PBE was carried out for a relaxed structure of Ac2NpN3.

Magnetic moment = 3.97 μB/f.u.
ΔE_f (raw) = -0.987 eV/atom
Calculated total energy = -208.23 eV for the cell shown
Energy above the most stable polymorph in this dataset = 0 meV/atom

Lattice parameters (Å, degrees): 6.8222 6.8222 12.9179 91.91 91.91 125.68
Element x y z (fractional)
Ac 0.0441 0.4224 0.8605
Ac 0.0946 0.3498 0.4174
Ac 0.3498 0.0946 0.9174
Ac 0.4224 0.0441 0.3605
Ac 0.5776 0.9559 0.6395
Ac 0.6502 0.9054 0.0826
Ac 0.9054 0.6502 0.5826
Ac 0.9559 0.5776 0.1395
Np 0.2902 0.3048 0.1655
Np 0.3048 0.2902 0.6655
Np 0.6952 0.7098 0.3345
Np 0.7098 0.6952 0.8345
N 0.0088 0.9912 0.2500
N 0.0602 0.2995 0.0473
N 0.1728 0.5092 0.6119
N 0.2995 0.0602 0.5473
N 0.3544 0.6456 0.2500
N 0.4908 0.8272 0.8881
N 0.5092 0.1728 0.1119
N 0.6456 0.3544 0.7500
N 0.7005 0.9398 0.4527
N 0.8272 0.4908 0.3881
N 0.9398 0.7005 0.9527
N 0.9912 0.0088 0.7500